Computed, not measured: a geometry-optimized MgAs2Ru structure at the GGA-PBE level of DFT. Values from VASP.

Output
energy relative to the elements	0.003	eV per atom
E	-20.16	eV for the cell shown

```
&SYSTEM
  ibrav = 0, nat = 4, ntyp = 3
/
ATOMIC_SPECIES
Mg 24.30 Mg.upf
As 74.92 As.upf
Ru 101.07 Ru.upf
CELL_PARAMETERS angstrom
1.563 0.903 8.518
-1.563 0.903 8.518
0.000 -1.805 8.518
ATOMIC_POSITIONS angstrom
Mg 0.000 0.000 0.000
As 0.000 0.000 6.232
As 0.000 0.000 12.265
Ru 0.000 0.000 19.172
```

=====

Computed, not measured: a geometry-optimized DyThCdTc structure at the GGA-PBE level of DFT. Values from VASP.

Output
energy relative to the elements	-0.046	eV per atom
E	-23.49	eV for the cell shown

```
&SYSTEM
  ibrav = 0, nat = 4, ntyp = 4
/
ATOMIC_SPECIES
Dy 162.50 Dy.upf
Th 232.04 Th.upf
Cd 112.41 Cd.upf
Tc 98.00 Tc.upf
CELL_PARAMETERS angstrom
0.000 3.641 3.641
3.641 0.000 3.641
3.641 3.641 0.000
ATOMIC_POSITIONS angstrom
Dy 0.000 0.000 0.000
Th 3.641 3.641 3.641
Cd 5.461 5.461 5.461
Tc 1.820 1.820 1.820
```

=====

Computed, not measured: a geometry-optimized Ba2GaHPd structure at the GGA-PBE level of DFT. Values from VASP.

Output
E	-35.56	eV for the cell shown

```
&SYSTEM
  ibrav = 0, nat = 10, ntyp = 4
/
ATOMIC_SPECIES
Ba 137.33 Ba.upf
Ga 69.72 Ga.upf
H 1.01 H.upf
Pd 106.42 Pd.upf
CELL_PARAMETERS angstrom
7.497 0.000 0.000
0.000 4.311 0.000
-2.754 0.000 8.774
ATOMIC_POSITIONS angstrom
Ba 0.516 1.078 3.654
Ba -0.866 1.078 8.304
Ba 5.609 3.233 0.470
Ba 4.227 3.233 5.120
Ga 0.826 3.233 6.274
Ga 3.917 1.078 2.499
H 0.815 3.233 1.412
H 3.928 1.078 7.361
Pd 2.522 3.233 2.021
Pd 2.221 1.078 6.752
```